(1)
Entry from the Alexandria database: GaCuMo after structural relaxation (GGA-PBE).

Fermi-level density of states	0.7177	states/eV/atom
SG	P6/mmm
calculated total energy	-17.45	eV per formula unit
calculated formation energy	0.169	eV/atom
ΔE to the lowest computed polymorph	106.7	meV per atom

Cell: 4.296 4.296 5.365 Å, 90.00 90.00 120.00°
Fractional coordinates of all 6 atoms:
Mo  0.000  0.000  0.239
Mo  0.000  0.000  0.761
Ga  0.333  0.667  0.500
Ga  0.667  0.333  0.500
Cu  0.333  0.667  0.000
Cu  0.667  0.333  0.000

---

(2)
Entry from the Alexandria database: Ga2Cu2Mo after structural relaxation (GGA-PBE).

Fermi-level density of states	0.1230	states/eV/atom
SG	P4/mbm
calculated total energy	-24.86	eV per formula unit
calculated formation energy	0.043	eV/atom
ΔE to the lowest computed polymorph	0.0	meV per atom

Cell: 7.160 7.160 2.725 Å, 90.00 90.00 90.00°
Fractional coordinates of all 10 atoms:
Cu  0.155  0.655  0.500
Cu  0.845  0.345  0.500
Cu  0.655  0.845  0.500
Cu  0.345  0.155  0.500
Ga  0.357  0.857  0.000
Ga  0.143  0.357  0.000
Ga  0.643  0.143  0.000
Ga  0.857  0.643  0.000
Mo  0.000  0.000  0.000
Mo  0.500  0.500  0.000

---

(3)
Entry from the Alexandria database: GaCuMo2 after structural relaxation (GGA-PBE).

Fermi-level density of states	1.5243	states/eV/atom
SG	Fm-3m
calculated total energy	-27.74	eV per formula unit
calculated formation energy	0.262	eV/atom
ΔE to the lowest computed polymorph	0.0	meV per atom

Cell: 4.351 4.351 4.351 Å, 60.00 60.00 60.00°
Fractional coordinates of all 4 atoms:
Cu  0.000  0.000  0.000
Mo  0.250  0.250  0.250
Mo  0.750  0.750  0.750
Ga  0.500  0.500  0.500

---

(4)
Entry from the Alexandria database: Ga3CuMo after structural relaxation (GGA-PBE).

Fermi-level density of states	0.8049	states/eV/atom
SG	Pm-3m
calculated total energy	-20.34	eV per formula unit
calculated formation energy	0.733	eV/atom
ΔE to the lowest computed polymorph	0.0	meV per atom

Cell: 4.874 4.874 4.874 Å, 90.00 90.00 90.00°
Fractional coordinates of all 5 atoms:
Ga  0.000  0.000  0.500
Ga  0.000  0.500  0.000
Ga  0.500  0.000  0.000
Mo  0.000  0.000  0.000
Cu  0.500  0.500  0.500

---

(5)
Entry from the Alexandria database: Ga6CuMo after structural relaxation (GGA-PBE).

Fermi-level density of states	0.3848	states/eV/atom
SG	C2/m
calculated total energy	-32.16	eV per formula unit
calculated formation energy	0.116	eV/atom

Cell: 4.692 4.692 8.127 Å, 64.81 64.81 70.39°
Fractional coordinates of all 8 atoms:
Cu  0.500  0.500  0.500
Ga  0.693  0.693  0.950
Ga  0.864  0.362  0.687
Ga  0.307  0.307  0.050
Ga  0.136  0.638  0.313
Ga  0.362  0.864  0.687
Ga  0.638  0.136  0.313
Mo  0.000  0.000  0.000

---

(6)
Entry from the Alexandria database: Ga2CuMo2 after structural relaxation (GGA-PBE).

Fermi-level density of states	1.1297	states/eV/atom
SG	P4/mbm
calculated total energy	-30.98	eV per formula unit
calculated formation energy	0.166	eV/atom
ΔE to the lowest computed polymorph	0.0	meV per atom

Cell: 6.426 6.426 3.640 Å, 90.00 90.00 90.00°
Fractional coordinates of all 10 atoms:
Mo  0.670  0.830  0.500
Mo  0.830  0.330  0.500
Mo  0.170  0.670  0.500
Mo  0.330  0.170  0.500
Ga  0.135  0.365  0.000
Ga  0.865  0.635  0.000
Ga  0.635  0.135  0.000
Ga  0.365  0.865  0.000
Cu  0.500  0.500  0.000
Cu  0.000  0.000  0.000

---

(7)
Entry from the Alexandria database: Ga2Cu2Mo after structural relaxation (GGA-PBE).

Fermi-level density of states	0.3029	states/eV/atom
SG	I4/mmm
calculated total energy	-24.52	eV per formula unit
calculated formation energy	0.112	eV/atom
ΔE to the lowest computed polymorph	68.8	meV per atom

Cell: 3.546 3.546 6.242 Å, 73.50 73.50 90.00°
Fractional coordinates of all 5 atoms:
Cu  0.750  0.250  0.500
Cu  0.250  0.750  0.500
Mo  0.000  0.000  0.000
Ga  0.603  0.603  0.793
Ga  0.397  0.397  0.207

---

(8)
Entry from the Alexandria database: GaCuMo2 after structural relaxation (GGA-PBE).

Fermi-level density of states	0.5102	states/eV/atom
SG	I-42d
calculated total energy	-26.54	eV per formula unit
calculated formation energy	0.562	eV/atom
ΔE to the lowest computed polymorph	299.7	meV per atom

Cell: 6.931 6.931 5.558 Å, 51.43 51.43 90.00°
Fractional coordinates of all 8 atoms:
Mo  0.129  0.625  0.250
Mo  0.621  0.125  0.250
Mo  0.375  0.379  0.750
Mo  0.875  0.871  0.750
Ga  0.000  0.000  0.000
Ga  0.750  0.250  0.500
Cu  0.250  0.750  0.500
Cu  0.500  0.500  0.000

---

(9)
Entry from the Alexandria database: GaCu2Mo after structural relaxation (GGA-PBE).

Fermi-level density of states	1.4616	states/eV/atom
SG	I-42d
calculated total energy	-20.10	eV per formula unit
calculated formation energy	0.488	eV/atom
ΔE to the lowest computed polymorph	221.7	meV per atom

Cell: 6.794 6.794 5.451 Å, 51.45 51.45 90.00°
Fractional coordinates of all 8 atoms:
Cu  0.141  0.625  0.250
Cu  0.375  0.391  0.750
Cu  0.875  0.859  0.750
Cu  0.609  0.125  0.250
Mo  0.750  0.250  0.500
Mo  0.000  0.000  0.000
Ga  0.500  0.500  0.000
Ga  0.250  0.750  0.500

---

(10)
Entry from the Alexandria database: Ga2CuMo2 after structural relaxation (GGA-PBE).

Fermi-level density of states	0.6051	states/eV/atom
SG	P4/mbm
calculated total energy	-30.70	eV per formula unit
calculated formation energy	0.222	eV/atom
ΔE to the lowest computed polymorph	55.9	meV per atom

Cell: 6.920 6.920 3.404 Å, 90.00 90.00 90.00°
Fractional coordinates of all 10 atoms:
Mo  0.123  0.377  0.000
Mo  0.623  0.123  0.000
Mo  0.877  0.623  0.000
Mo  0.377  0.877  0.000
Cu  0.000  0.000  0.000
Cu  0.500  0.500  0.000
Ga  0.176  0.676  0.500
Ga  0.324  0.176  0.500
Ga  0.676  0.824  0.500
Ga  0.824  0.324  0.500

---

(11)
Entry from the Alexandria database: NaGaCu2Mo after structural relaxation (GGA-PBE).

Fermi-level density of states	0.3351	states/eV/atom
SG	P4/mmm
calculated total energy	-17.72	eV per formula unit
calculated formation energy	1.130	eV/atom

Cell: 4.538 4.932 4.538 Å, 90.00 90.00 90.00°
Each line ends with the local moment (μB).
Fractional coordinates of all 5 atoms:
Cu  0.000  0.000  0.500  -0.01
Cu  0.500  0.000  0.000  -0.01
Ga  0.000  0.000  0.000  -0.09
Mo  0.500  0.500  0.500  3.40
Na  0.000  0.500  0.000  0.00